Here is a relaxed structure of ScCd2Cu9 from the Alexandria database. Energies are from GGA-PBE.

The space group is R-3m (No. 166, hexagonal axes) and the conventional cell measures 4.9921, 4.9921 and 24.1913 Å, with angles of 90.00, 90.00 and 120.00 degrees. The asymmetric unit holds Sc at (0.0000, 0.0000, 0.0000), Cd at (0.0000, 0.0000, 0.1422), Cu at (0.0000, 0.0000, 0.3334), Cu at (0.0000, 0.0000, 0.5000) and Cu at (0.0020, 0.5010, 0.9169).

For the total energy, the calculation gives -0.281 Ry per atom.

=====

Here is a relaxed structure of ScCdCu from the Alexandria database. Energies are from GGA-PBE.

The space group is P6_3/mmc (No. 194) and the conventional cell measures 4.7170, 4.7170 and 5.7485 Å, with angles of 90.00, 90.00 and 120.00 degrees. The asymmetric unit holds Sc at (0.3333, 0.6667, 0.2500), Cd at (0.0000, 0.0000, 0.0000) and Cu at (0.3333, 0.6667, 0.7500).

For the total energy, the calculation gives -0.294 Ry per atom.

=====

Here is a relaxed structure of ScCdCu2Se from the Alexandria database. Energies are from GGA-PBE.

The space group is P4/mmm (No. 123) and the conventional cell measures 4.684, 4.684 and 5.495 Å, with angles of 90.00, 90.00 and 90.00 degrees. The asymmetric unit holds Sc at (0.000, 0.000, 0.000), Cd at (0.000, 0.000, 0.500), Cu at (0.000, 0.500, 0.500) and Se at (0.500, 0.500, 0.000).

The value obtained for the uncorrected formation energy is 542 meV/atom. For the total energy, the calculation gives -0.238 Ry per atom.

=====

Here is a relaxed structure of ScCdCu2Se from the Alexandria database. Energies are from GGA-PBE.

The space group is P4/mmm (No. 123) and the conventional cell measures 4.532, 4.532 and 5.515 Å, with angles of 90.00, 90.00 and 90.00 degrees. The asymmetric unit holds Sc at (0.000, 0.000, 0.000), Cd at (0.500, 0.500, 0.000), Cu at (0.000, 0.500, 0.500) and Se at (0.500, 0.500, 0.500).

The value obtained for the uncorrected formation energy is 452 meV/atom. For the total energy, the calculation gives -0.245 Ry per atom.

=====

Here is a relaxed structure of SmScCdCu from the Alexandria database. Energies are from GGA-PBE.

The space group is F-43m (No. 216) and the conventional cell measures 7.128, 7.128 and 7.128 Å, with angles of 90.00, 90.00 and 90.00 degrees. The asymmetric unit holds Sm at (0.000, 0.000, 0.000), Sc at (0.000, 0.000, 0.500), Cd at (0.250, 0.250, 0.750) and Cu at (0.250, 0.250, 0.250).

For the total energy, the calculation gives -0.308 Ry per atom.

=====

Here is a relaxed structure of SmScCdCu from the Alexandria database. Energies are from GGA-PBE.

The space group is P4mm (No. 99) and the conventional cell measures 3.410, 3.410 and 7.636 Å, with angles of 90.00, 90.00 and 90.00 degrees. The asymmetric unit holds Sm at (0.000, 0.000, 0.000), Sc at (0.000, 0.000, 0.559), Cd at (0.500, 0.500, 0.304) and Cu at (0.500, 0.500, 0.741).

For the total energy, the calculation gives -0.313 Ry per atom.

=====

Here is a relaxed structure of TbScCdCu from the Alexandria database. Energies are from GGA-PBE.

The space group is P4mm (No. 99) and the conventional cell measures 3.395, 3.395 and 7.531 Å, with angles of 90.00, 90.00 and 90.00 degrees. The asymmetric unit holds Tb at (0.000, 0.000, 0.000), Sc at (0.000, 0.000, 0.560), Cd at (0.500, 0.500, 0.300) and Cu at (0.500, 0.500, 0.751).

For the total energy, the calculation gives -0.313 Ry per atom.

=====

Here is a relaxed structure of TbScCdCu from the Alexandria database. Energies are from GGA-PBE.

The space group is F-43m (No. 216) and the conventional cell measures 7.062, 7.062 and 7.062 Å, with angles of 90.00, 90.00 and 90.00 degrees. The asymmetric unit holds Tb at (0.000, 0.000, 0.000), Sc at (0.000, 0.000, 0.500), Cd at (0.250, 0.250, 0.250) and Cu at (0.250, 0.250, 0.750).

For the total energy, the calculation gives -0.309 Ry per atom.

=====

Here is a relaxed structure of ThScCdCu from the Alexandria database. Energies are from GGA-PBE.

The space group is P4mm (No. 99) and the conventional cell measures 3.384, 3.384 and 7.831 Å, with angles of 90.00, 90.00 and 90.00 degrees. The asymmetric unit holds Th at (0.000, 0.000, 0.000), Sc at (0.000, 0.000, 0.557), Cd at (0.500, 0.500, 0.309) and Cu at (0.500, 0.500, 0.736).

For the total energy, the calculation gives -0.358 Ry per atom.

=====

Here is a relaxed structure of ThScCdCu from the Alexandria database. Energies are from GGA-PBE.

The space group is F-43m (No. 216) and the conventional cell measures 7.205, 7.205 and 7.205 Å, with angles of 90.00, 90.00 and 90.00 degrees. The asymmetric unit holds Th at (0.000, 0.000, 0.000), Sc at (0.000, 0.000, 0.500), Cd at (0.250, 0.250, 0.750) and Cu at (0.250, 0.250, 0.250).

For the total energy, the calculation gives -0.349 Ry per atom.

=====

Here is a relaxed structure of ScTiCdCu from the Alexandria database. Energies are from GGA-PBE.

The space group is F-43m (No. 216) and the conventional cell measures 6.652, 6.652 and 6.652 Å, with angles of 90.00, 90.00 and 90.00 degrees. The asymmetric unit holds Sc at (0.000, 0.000, 0.000), Ti at (0.000, 0.000, 0.500), Cd at (0.250, 0.250, 0.750) and Cu at (0.250, 0.250, 0.250).

For the total energy, the calculation gives -0.356 Ry per atom.

=====

Here is a relaxed structure of ScTlCdCu from the Alexandria database. Energies are from GGA-PBE.

The space group is F-43m (No. 216) and the conventional cell measures 6.848, 6.848 and 6.848 Å, with angles of 90.00, 90.00 and 90.00 degrees. The asymmetric unit holds Sc at (0.000, 0.000, 0.000), Tl at (0.250, 0.250, 0.750), Cd at (0.000, 0.000, 0.500) and Cu at (0.250, 0.250, 0.250).

For the total energy, the calculation gives -0.256 Ry per atom.